# K2ReF8, relaxed, DFT PBE
# E_form (uncorrected), eV per atom: -2.232
# Offset from the most stable computed form, eV per atom: 0.248
data_K2ReF8
_symmetry_space_group_name_H-M 'C 1 2/m 1'
_symmetry_Int_Tables_number 12
_symmetry_space_group_name_Hall '-C 2y'
_cell_length_a 9.1725
_cell_length_b 5.1731
_cell_length_c 8.6904
_cell_angle_alpha 90.00
_cell_angle_beta 99.43
_cell_angle_gamma 90.00
loop_
_atom_site_label
_atom_site_type_symbol
_atom_site_fract_x
_atom_site_fract_y
_atom_site_fract_z
_atom_site_occupancy
K1 K 0.1721 0.0000 0.1529 1
Re1 Re 0.0000 0.5000 0.5000 1
F1 F 0.0716 0.5000 0.3085 1
F2 F 0.1206 0.0000 0.8660 1
F3 F 0.1383 0.2486 0.5811 1

=====

# BaSr8Ca3, relaxed, DFT PBE
# DFT formation energy, eV per atom: 0.022
data_BaSr8Ca3
_symmetry_space_group_name_H-M 'P -3 1 m'
_symmetry_Int_Tables_number 162
_symmetry_space_group_name_Hall '-P 3 2'
_cell_length_a 7.2663
_cell_length_b 7.2663
_cell_length_c 13.6951
_cell_angle_alpha 90.00
_cell_angle_beta 90.00
_cell_angle_gamma 120.00
loop_
_atom_site_label
_atom_site_type_symbol
_atom_site_fract_x
_atom_site_fract_y
_atom_site_fract_z
_atom_site_occupancy
Ba1 Ba 0.0000 0.0000 0.0000 1
Sr1 Sr 0.0000 0.3343 0.7407 1
Sr2 Sr 0.3333 0.6667 0.0000 1
Ca1 Ca 0.0000 0.0000 0.5000 1
Ca2 Ca 0.3333 0.6667 0.5000 1

=====

# Dy2Ga3Ni, relaxed, DFT PBE
# DFT formation energy, eV per atom: -0.640
data_Dy2Ga3Ni
_symmetry_space_group_name_H-M 'P m m 2'
_symmetry_Int_Tables_number 25
_symmetry_space_group_name_Hall 'P 2 -2'
_cell_length_a 3.6437
_cell_length_b 4.3005
_cell_length_c 7.5314
_cell_angle_alpha 90.00
_cell_angle_beta 90.00
_cell_angle_gamma 90.00
loop_
_atom_site_label
_atom_site_type_symbol
_atom_site_fract_x
_atom_site_fract_y
_atom_site_fract_z
_atom_site_occupancy
Dy1 Dy 0.0000 0.0000 0.0000 1
Dy2 Dy 0.0000 0.5000 0.4691 1
Ga1 Ga 0.5000 0.0000 0.6384 1
Ga2 Ga 0.5000 0.5000 0.1571 1
Ga3 Ga 0.5000 0.5000 0.8179 1
Ni1 Ni 0.5000 0.0000 0.3136 1

=====

# CuSnPd, relaxed, DFT PBE
# Offset from the most stable computed form, eV per atom: 0.080
# DFT formation energy, eV per atom: -0.176
data_CuSnPd
_symmetry_space_group_name_H-M 'F -4 3 m'
_symmetry_Int_Tables_number 216
_symmetry_space_group_name_Hall 'F -4 2 3'
_cell_length_a 6.1315
_cell_length_b 6.1315
_cell_length_c 6.1315
_cell_angle_alpha 90.00
_cell_angle_beta 90.00
_cell_angle_gamma 90.00
loop_
_atom_site_label
_atom_site_type_symbol
_atom_site_fract_x
_atom_site_fract_y
_atom_site_fract_z
_atom_site_occupancy
Cu1 Cu 0.0000 0.0000 0.0000 1
Sn1 Sn 0.0000 0.0000 0.5000 1
Pd1 Pd 0.2500 0.2500 0.2500 1